Record 1
5
Lattice="4.954 0.000 0.000 2.477 5.508 -0.156 2.477 1.325 5.348" Properties=species:S:1:pos:R:3 comment="PBE-GGA Sm2TmIn2, optimized geometry" crystal_system=orthorhombic relative_energy_kj_per_mol_atoms=0.2 formation_energy_mev_per_atom=-366 pbc="T T T"
In 4.954 2.523 3.772
In 4.954 4.309 1.421
Sm 7.431 4.737 3.600
Sm 2.477 2.095 1.592
Tm 0.000 0.000 0.000

***

Record 2
12
Lattice="-3.920 -0.607 0.873 0.309 -3.841 -1.282 3.053 -3.512 11.260" Properties=species:S:1:pos:R:3 comment="PBE-GGA In2Pd9Pb, optimized geometry" crystal_system=tetragonal formation_energy_mev_per_atom=-382 pbc="T T T"
Pd 2.685 -4.831 8.690
Pd 0.225 -4.559 7.282
Pd 0.678 -2.522 1.288
Pd 1.681 -3.677 4.989
Pd -0.433 -2.059 6.067
Pd -0.782 -3.401 3.569
Pd -1.805 -2.224 -0.204
Pd 0.570 -3.214 9.768
Pd -1.437 -0.905 2.366
In 1.027 -1.181 3.786
In 2.026 -2.331 7.474
Pb 0.000 0.000 0.000

***

Record 3
4
Lattice="2.880 -0.016 0.000 -0.673 2.800 0.000 0.000 0.000 8.656" Properties=species:S:1:pos:R:3 comment="PBE-GGA Ta2CdSi, optimized geometry" crystal_system=orthorhombic formation_energy_uncorrected_kj_per_mol_fu=6 pbc="T T T"
Ta 0.000 0.000 8.409
Ta 0.000 0.000 4.575
Si 1.103 1.392 6.492
Cd 1.103 1.392 2.164

***

Record 4
2
Lattice="4.526 0.000 0.000 2.263 3.919 0.000 2.263 1.306 3.695" Properties=species:S:1:pos:R:3 comment="PBE-GGA NdSb, optimized geometry" crystal_system=cubic formation_energy_uncorrected_kj_per_mol_fu=-229 pbc="T T T"
Sb 4.526 2.613 1.848
Nd 0.000 0.000 0.000

***

Record 5
20
Lattice="-6.348 -3.310 0.382 -0.098 -0.710 -7.782 4.747 -9.346 0.793" Properties=species:S:1:pos:R:3 comment="PBE-GGA KTl2CrCl6, optimized geometry" crystal_system=monoclinic formation_energy_uncorrected_kj_per_mol_fu=-1214 pbc="T T T"
Cl 3.087 -7.969 -2.922
Cl -1.632 -1.699 -5.036
Cl 0.720 -8.713 -6.749
Cl -4.786 -5.397 -3.685
Cl 0.750 -5.217 -0.820
Cl -1.580 -7.579 -1.281
Cl -0.067 -11.667 -1.571
Cl -0.119 -5.787 -5.326
Cl -2.419 -4.653 0.142
Cl -2.449 -8.150 -5.787
Cl -0.920 -12.121 -4.799
Cl -0.779 -1.245 -1.808
Tl -2.677 -10.232 0.448
Tl 0.978 -3.135 -7.055
Tl 0.213 -9.201 -3.607
Tl -1.912 -4.165 -3.000
K 2.324 -5.028 -3.494
K -3.174 -1.655 0.191
Cr -0.801 -6.328 0.588
Cr -0.049 -0.355 -3.891

***

Record 6
8
Lattice="4.080 0.000 0.000 0.000 7.070 0.123 0.000 -2.483 7.472" Properties=species:S:1:pos:R:3 comment="PBE-GGA PmHoTl2S4, optimized geometry" crystal_system=monoclinic formation_energy_uncorrected_kj_per_mol_fu=-1138 pbc="T T T"
S 0.000 4.739 1.596
S 0.000 -0.152 5.999
S 2.040 3.484 6.085
S 2.040 1.103 1.509
Pm 2.040 3.535 0.061
Tl 0.000 2.293 3.797
Tl 2.040 -1.241 3.736
Ho 0.000 0.000 0.000

***

Record 7
12
Lattice="-1.771 3.359 4.571 -2.198 -6.067 3.606 9.261 -0.852 4.214" Properties=species:S:1:pos:R:3 comment="PBE-GGA Ac2PrSm2Y, optimized geometry" crystal_system=orthorhombic formation_energy_mev_per_atom=75 pbc="T T T"
Ac 8.357 0.781 6.526
Ac -2.000 -1.401 4.117
Ac 5.988 -5.300 6.214
Ac 1.042 -1.710 1.660
Pr 0.558 -3.203 6.432
Pr 4.700 -0.449 6.014
Sm 7.063 -2.265 4.401
Sm 3.496 -3.472 7.768
Sm 1.763 -0.178 4.676
Sm -0.034 -4.747 3.475
Y 3.514 -3.505 3.937
Y 4.614 -0.472 2.134

***

Record 8
20
Lattice="-2.998 2.461 5.381 1.948 -5.831 2.491 5.620 3.287 0.186" Properties=species:S:1:pos:R:3 comment="PBE-GGA BiB2PbO6, optimized geometry" crystal_system=monoclinic formation_energy_uncorrected_kj_per_mol_fu=-1701 pbc="T T T"
O 4.989 -0.182 1.456
O 4.142 2.205 3.394
O 2.497 0.598 5.189
O 2.073 -0.680 2.869
O 4.531 -1.845 5.445
O 2.996 2.324 1.283
O -0.419 0.099 6.602
O 0.039 1.762 2.613
O 0.981 -0.652 0.725
O 1.574 -2.406 6.775
O 3.589 0.570 7.333
O 0.427 -2.287 4.664
Pb 2.844 -4.156 2.835
Pb 1.726 4.074 5.223
Bi 0.362 0.005 4.285
Bi 4.207 -0.087 3.773
B 2.693 1.159 6.453
B 3.233 2.841 2.548
B 1.877 -1.241 1.605
B 1.337 -2.923 5.510

***

| no. | calculated volume (Å³ per atom) |
| --- | --- |
| 1 | 29.39 |
| 2 | 16.75 |
| 3 | 17.42 |
| 4 | 32.77 |
| 5 | 29.45 |
| 6 | 27.10 |
| 7 | 37.37 |
| 8 | 13.61 |